No. 1
DFT (GGA-PBE) results for a relaxed structure of Li2AlF.

Lattice parameters (Å, degrees): 5.704 5.704 5.558 59.13 59.13 90.00
Fractional coordinates of all 8 atoms:
Li: 0.478 0.125 0.250
Li: 0.272 0.625 0.250
Li: 0.375 0.522 0.750
Li: 0.875 0.728 0.750
Al: 0.000 0.000 0.000
Al: 0.750 0.250 0.500
F: 0.500 0.500 0.000
F: 0.250 0.750 0.500

For the calculated total energy, the calculation gives -28.9 eV/cell. For the formation energy (no corrections), the calculation gives -1.2474 eV per atom.

No. 2
DFT (GGA-PBE) results for a relaxed structure of TmSc4.

Lattice parameters (Å, degrees): 5.466 5.903 8.842 64.07 90.00 90.00
Fractional coordinates of all 10 atoms:
Tm: 0.000 0.000 0.000
Tm: 0.500 0.000 0.500
Sc: 0.055 0.384 0.206
Sc: 0.555 0.616 0.294
Sc: 0.945 0.616 0.794
Sc: 0.445 0.384 0.706
Sc: 0.961 0.219 0.594
Sc: 0.461 0.781 0.906
Sc: 0.039 0.781 0.406
Sc: 0.539 0.219 0.094

The formation energy comes out at 102.2 meV per atom. For the calculated total energy, the calculation gives -58.6 eV/cell.

No. 3
DFT (GGA-PBE) results for a relaxed structure of Zr2TcMo.

Lattice parameters (Å, degrees): 6.140 6.140 6.140 55.60 152.94 132.41
Fractional coordinates of all 4 atoms:
Zr: 0.000 0.257 0.257
Zr: 0.000 0.743 0.743
Tc: 0.000 0.500 0.500
Mo: 0.000 0.000 0.000

The formation energy comes out at 672.9 meV per atom. For the calculated total energy, the calculation gives -35.6 eV/cell.

No. 4
DFT (GGA-PBE) results for a relaxed structure of Sm2ErPd.

Lattice parameters (Å, degrees): 3.653 3.653 8.367 90.00 90.00 90.00
Fractional coordinates of all 4 atoms:
Pd: 0.500 0.500 0.000
Sm: 0.000 0.000 0.796
Sm: 0.000 0.000 0.204
Er: 0.500 0.500 0.500

The formation energy comes out at -346.1 meV per atom. For the calculated total energy, the calculation gives -20.6 eV/cell.

No. 5
DFT (GGA-PBE) results for a relaxed structure of ThHgBr6.

Lattice parameters (Å, degrees): 7.524 7.524 7.138 99.83 99.83 123.41
Fractional coordinates of all 8 atoms:
Th: 0.500 0.500 0.500
Hg: 0.000 0.000 0.000
Br: 0.607 0.911 0.758
Br: 0.911 0.607 0.758
Br: 0.089 0.393 0.242
Br: 0.393 0.089 0.242
Br: 0.263 0.263 0.738
Br: 0.737 0.737 0.262

For the calculated total energy, the calculation gives -27.3 eV/cell. For the formation energy (no corrections), the calculation gives -1.1889 eV per atom.

No. 6
DFT (GGA-PBE) results for a relaxed structure of ZrBeSb2Br.

Lattice parameters (Å, degrees): 5.587 4.902 5.587 90.00 90.00 90.00
Fractional coordinates of all 5 atoms:
Sb: 0.000 0.000 0.500
Sb: 0.500 0.000 0.000
Br: 0.000 0.000 0.000
Zr: 0.000 0.500 0.000
Be: 0.500 0.500 0.500

For the calculated total energy, the calculation gives -15.8 eV/cell. For the formation energy (no corrections), the calculation gives 1.2876 eV per atom.

No. 7
DFT (GGA-PBE) results for a relaxed structure of GaAgPb2.

Lattice parameters (Å, degrees): 4.092 4.950 4.950 90.00 90.00 90.00
Fractional coordinates of all 4 atoms:
Pb: 0.000 0.000 0.500
Pb: 0.000 0.500 0.000
Ga: 0.500 0.500 0.500
Ag: 0.500 0.000 0.000

The formation energy comes out at 104.2 meV per atom. For the calculated total energy, the calculation gives -12.9 eV/cell.

No. 8
DFT (GGA-PBE) results for a relaxed structure of DyEr3Al3.

Lattice parameters (Å, degrees): 7.179 7.179 6.891 90.00 90.00 90.40
Fractional coordinates of all 14 atoms:
Dy: 0.743 0.743 0.000
Dy: 0.257 0.257 0.000
Er: 0.742 0.742 0.500
Er: 0.256 0.744 0.500
Er: 0.744 0.256 0.500
Er: 0.253 0.747 0.000
Er: 0.747 0.253 0.000
Er: 0.258 0.258 0.500
Al: 0.000 0.000 0.254
Al: 0.000 0.500 0.748
Al: 0.500 0.000 0.748
Al: 0.000 0.500 0.252
Al: 0.500 0.000 0.252
Al: 0.000 0.000 0.746

The formation energy comes out at -264.3 meV per atom. For the calculated total energy, the calculation gives -62.7 eV/cell.